Record 1
{
  "formula": "Tl2FeRhC",
  "functional": "PBE",
  "state": "optimized geometry",
  "rho_g_cm3": 8.51,
  "formation_enthalpy_0k_ev_per_atom": 1.857,
  "final_energy_ry_per_atom": -0.3011,
  "sg": "No. 123",
  "lattice": [[-3.643, -1.971, -2.930], [3.381, -3.159, -2.079], [-0.881, -2.984, 3.103]],
  "species": ["C", "Tl", "Tl", "Rh", "Fe"],
  "frac_coords": [[0.500, 0.500, 0.500], [0.000, 0.500, 0.000], [0.500, 0.000, 0.000], [0.000, 0.000, 0.500], [0.000, 0.000, 0.000]]
}

***

Record 2
{
  "formula": "V2FeRhC",
  "functional": "PBE",
  "state": "optimized geometry",
  "rho_g_cm3": 7.77,
  "formation_enthalpy_0k_ev_per_atom": -0.221,
  "final_energy_ry_per_atom": -0.6524,
  "sg": "No. 123",
  "lattice": [[3.957, 0.000, 0.000], [0.000, 3.957, 0.000], [0.000, 0.000, 3.721]],
  "species": ["C", "Rh", "Fe", "V", "V"],
  "frac_coords": [[0.000, 0.000, 0.000], [0.500, 0.500, 0.500], [0.000, 0.000, 0.500], [0.000, 0.500, 0.000], [0.500, 0.000, 0.000]]
}